A plane-wave DFT calculation with GGA-PBE was carried out for a relaxed Nd3Se2Br crystal.

Structure (CIF):
```
data_Nd3Se2Br
_chemical_formula_sum 'Nd6 Se4 Br2'
_space_group_name_H-M_alt 'P 1'
_space_group_IT_number 1
_space_group_name_Hall 'P 1'
_cell_length_a 4.0441
_cell_length_b 4.0441
_cell_length_c 23.1778
_cell_angle_alpha 90.00
_cell_angle_beta 90.00
_cell_angle_gamma 120.00
loop_
_atom_site_label
_atom_site_type_symbol
_atom_site_fract_x
_atom_site_fract_y
_atom_site_fract_z
Br1 Br 0.0000 0.0000 0.7500
Br2 Br 0.0000 0.0000 0.2500
Nd1 Nd 0.0000 0.0000 0.0000
Nd2 Nd 0.3333 0.6667 0.1547
Nd3 Nd 0.6667 0.3333 0.6547
Nd4 Nd 0.3333 0.6667 0.3453
Nd5 Nd 0.0000 0.0000 0.5000
Nd6 Nd 0.6667 0.3333 0.8453
Se1 Se 0.3333 0.6667 0.9216
Se2 Se 0.3333 0.6667 0.5784
Se3 Se 0.6667 0.3333 0.0784
Se4 Se 0.6667 0.3333 0.4216
```

**Space-group type**: No. 194
**Formation energy from raw total energies**: -152.7 kJ/mol of atoms